RbAsS2Cl: relaxed, GGA-PBE. Values from VASP.

Cell and atoms, written as Quantum ESPRESSO input:
```
&SYSTEM
  ibrav = 0, nat = 5, ntyp = 4
/
ATOMIC_SPECIES
Rb 85.47 Rb.upf
As 74.92 As.upf
S 32.06 S.upf
Cl 35.45 Cl.upf
CELL_PARAMETERS angstrom
4.808 0.000 0.000
0.000 4.808 0.000
0.000 0.000 5.493
ATOMIC_POSITIONS crystal
Rb 0.000 0.000 0.000
As 0.500 0.500 0.500
S 0.000 0.500 0.500
S 0.500 0.000 0.500
Cl 0.500 0.500 0.000
```

Summary:
Formation energy from raw total energies: -46 kJ per mole of atoms
Electronic total energy: -3.63 eV/atom
Crystal system: tetragonal
SG: P4/mmm, No. 123